# 1
## PuZn2InAu5 (PBE)

Data for a relaxed PuZn2InAu5 crystal.

## Properties
ΔE_f (eV per formula unit): -1.5
SG: No. 123
DOS(E_F) (states/eV per atom): 1.99
Total magnetic moment (μB/cell): 5.5
DFT total energy (hartree per atom): -0.153

Cell lengths 4.8989, 4.8989, 7.8427 Å; angles 90.00, 90.00, 90.00 degrees
Last column: magnetic moment on the atom in μB.
Element x y z (fractional)
Pu  0.0000  0.0000  0.5000  5.27
Zn  0.5000  0.5000  0.1541  -0.01
Zn  0.5000  0.5000  0.8459  -0.01
In  0.0000  0.0000  0.0000  0.00
Au  0.0000  0.5000  0.2611  0.00
Au  0.5000  0.0000  0.2611  0.00
Au  0.0000  0.5000  0.7389  0.00
Au  0.5000  0.0000  0.7389  0.00
Au  0.5000  0.5000  0.5000  0.01

***

# 2
## Pu2Zn4InAu3 (PBE)

Data for a relaxed Pu2Zn4InAu3 crystal.

## Properties
ΔE_f (eV per formula unit): -2.7
SG: No. 115
DOS(E_F) (states/eV per atom): 2.84
Total magnetic moment (μB/cell): 11.3
DFT total energy (hartree per atom): -0.180

Cell lengths 4.1754, 4.1754, 11.9334 Å; angles 90.00, 90.00, 90.00 degrees
Last column: magnetic moment on the atom in μB.
Element x y z (fractional)
Pu  0.5000  0.0000  0.2422  5.37
Pu  0.0000  0.5000  0.7578  5.37
Zn  0.5000  0.5000  0.0000  -0.01
Zn  0.0000  0.0000  0.0000  0.00
Zn  0.5000  0.0000  0.6467  0.00
Zn  0.0000  0.5000  0.3533  0.00
In  0.5000  0.5000  0.5000  -0.02
Au  0.0000  0.0000  0.5000  0.00
Au  0.5000  0.0000  0.8607  -0.01
Au  0.0000  0.5000  0.1393  -0.01